<w>
Computed, not measured: crystalline LaHRu3 at its relaxed geometry at the PBE level of DFT.

Unit cell a=4.8995 b=4.8995 c=4.8995 alpha=90.00 beta=90.00 gamma=90.00
Last column: nearest neighbours and their distance in Å.
Space group Pm-3m (No. 221)
Inequivalent atoms, fractional coordinates:
La  0.0000  0.0000  0.0000  6 Ru 2.45
H  0.5000  0.5000  0.5000  12 Ru 3.46
Ru  0.0000  0.0000  0.5000  2 La 2.45

Magnetic moment = 5.06 μB/cell

***

<x>
Computed, not measured: crystalline LaHRu3 at its relaxed geometry at the PBE level of DFT.

Unit cell a=4.1574 b=4.1574 c=4.1574 alpha=90.00 beta=90.00 gamma=90.00
Last column: nearest neighbours and their distance in Å.
Space group Pm-3m (No. 221)
Inequivalent atoms, fractional coordinates:
La  0.0000  0.0000  0.0000  12 Ru 2.94
H  0.5000  0.5000  0.5000  6 Ru 2.08
Ru  0.0000  0.5000  0.5000  2 H 2.08

Magnetic moment = 0.00 μB/cell

***

Most stable: <x>. Least stable: <w>.

***

<w>
Computed, not measured: crystalline LaH2Ru at its relaxed geometry at the PBE level of DFT.

Unit cell a=3.1650 b=4.1879 c=4.1939 alpha=73.40 beta=87.13 gamma=89.72
Last column: nearest neighbours and their distance in Å.
Space group P-1 (No. 2)
Inequivalent atoms, fractional coordinates:
La  0.0000  0.0000  0.0000  2 H 2.39
H  0.0105  0.3558  0.3556  2 Ru 1.86, 1 H 1.94
Ru  0.5000  0.5000  0.5000  4 H 1.86

Magnetic moment = 0.00 μB/cell

***

<x>
Computed, not measured: crystalline LaH2Ru at its relaxed geometry at the PBE level of DFT.

Unit cell a=4.2987 b=4.2987 c=11.5026 alpha=90.00 beta=90.00 gamma=90.00
Last column: nearest neighbours and their distance in Å.
Space group I-42d (No. 122)
Inequivalent atoms, fractional coordinates:
La  0.0000  0.0000  0.0000  4 H 2.60
H  0.0639  0.2500  0.6250  2 Ru 1.82
Ru  0.0000  0.0000  0.5000  4 H 1.82

Magnetic moment = 0.00 μB/cell

***

<y>
Computed, not measured: crystalline LaH2Ru at its relaxed geometry at the PBE level of DFT.

Unit cell a=5.9071 b=5.9071 c=5.9071 alpha=90.00 beta=90.00 gamma=90.00
Last column: nearest neighbours and their distance in Å.
Space group Fm-3m (No. 225)
Inequivalent atoms, fractional coordinates:
La  0.0000  0.0000  0.0000  8 H 2.56
H  0.2500  0.2500  0.2500  4 La 2.56, 4 Ru 2.56
Ru  0.0000  0.0000  0.5000  8 H 2.56

Magnetic moment = 0.00 μB/cell

***

Most stable: <w>. Least stable: <y>.

***

<w>
Computed, not measured: crystalline La2ZnHRu at its relaxed geometry at the PBE level of DFT.

Unit cell a=5.1988 b=5.1988 c=3.7362 alpha=90.00 beta=90.00 gamma=90.00
Last column: nearest neighbours and their distance in Å.
Space group P4/mmm (No. 123)
Inequivalent atoms, fractional coordinates:
La  0.0000  0.5000  0.0000  2 H 2.60
Zn  0.0000  0.0000  0.5000  8 La 3.20
H  0.5000  0.5000  0.0000  2 Ru 1.87
Ru  0.5000  0.5000  0.5000  2 H 1.87

Magnetic moment = 0.00 μB/cell

***

<x>
Computed, not measured: crystalline La2ZnHRu at its relaxed geometry at the PBE level of DFT.

Unit cell a=6.4167 b=4.3967 c=8.1127 alpha=90.00 beta=110.11 gamma=90.00
Last column: nearest neighbours and their distance in Å.
Space group P2_1/m (No. 11)
Inequivalent atoms, fractional coordinates:
La  0.2229  0.2500  0.4663  1 H 2.53
La  0.2419  0.2500  0.9256  2 H 2.55, 1 Ru 2.86
Zn  0.3285  0.7500  0.2246  2 Ru 2.65
H  0.1670  0.7500  0.7548  1 Ru 1.74
Ru  0.4266  0.7500  0.7321  1 H 1.74

Magnetic moment = 0.00 μB/cell

***

Most stable: <x>. Least stable: <w>.

***

<w>
Computed, not measured: crystalline LaSbH2 at its relaxed geometry at the PBE level of DFT.

Unit cell a=3.8507 b=12.9390 c=5.9084 alpha=90.00 beta=90.00 gamma=90.00
Last column: nearest neighbours and their distance in Å.
Space group Cmcm (No. 63)
Inequivalent atoms, fractional coordinates:
La  0.0000  0.1810  0.2500  6 H 2.22-2.29
Sb  0.0000  0.4563  0.2500  2 H 3.07, 2 Sb 3.16
H  0.0000  0.2698  0.5710  3 H 2.12-2.16, 3 La 2.22-2.29

Magnetic moment = 0.00 μB/cell

***

<x>
Computed, not measured: crystalline LaSbH2 at its relaxed geometry at the PBE level of DFT.

Unit cell a=3.8399 b=3.8399 c=17.2264 alpha=90.00 beta=90.00 gamma=120.00
Last column: nearest neighbours and their distance in Å.
Space group R-3m (No. 166, hexagonal axes)
Inequivalent atoms, fractional coordinates:
La  0.0000  0.0000  0.0000  6 H 2.28
Sb  0.0000  0.0000  0.5000  8 H 3.22-3.41
H  0.0000  0.0000  0.3022  3 La 2.28, 3 H 2.46

Magnetic moment = 0.00 μB/cell

***

<y>
Computed, not measured: crystalline LaSbH2 at its relaxed geometry at the PBE level of DFT.

Unit cell a=6.4232 b=6.4232 c=6.4232 alpha=90.00 beta=90.00 gamma=90.00
Last column: nearest neighbours and their distance in Å.
Space group Fm-3m (No. 225)
Inequivalent atoms, fractional coordinates:
La  0.0000  0.0000  0.0000  8 H 2.78
Sb  0.0000  0.0000  0.5000  8 H 2.78
H  0.2500  0.2500  0.2500  4 La 2.78, 4 Sb 2.78

Magnetic moment = 0.00 μB/cell

***

<z>
Computed, not measured: crystalline LaSbH2 at its relaxed geometry at the PBE level of DFT.

Unit cell a=4.6238 b=4.6238 c=13.7376 alpha=90.00 beta=90.00 gamma=90.00
Last column: nearest neighbours and their distance in Å.
Space group I-42d (No. 122)
Inequivalent atoms, fractional coordinates:
La  0.0000  0.0000  0.0000  4 H 2.30
Sb  0.0000  0.0000  0.5000  4 H 2.45
H  0.2171  0.2500  0.1250  2 La 2.30, 2 Sb 2.45

Magnetic moment = 0.00 μB/cell

***

Most stable: <w>. Least stable: <y>.

***

<w>
Computed, not measured: crystalline La4Sb2H at its relaxed geometry at the PBE level of DFT.

Unit cell a=7.4554 b=6.6007 c=8.8723 alpha=90.00 beta=107.13 gamma=90.00
Last column: nearest neighbours and their distance in Å.
Space group P2_1/m (No. 11)
Inequivalent atoms, fractional coordinates:
La  0.0016  0.0085  0.2682  1 H 2.37
La  0.3915  0.2500  0.0802  1 H 2.40
La  0.4153  0.2500  0.6212  1 H 2.42
Sb  0.2434  0.7500  0.0566  8 La 3.22-3.47
Sb  0.2875  0.7500  0.5758  8 La 3.20-3.43
H  0.2278  0.2500  0.8029  4 La 2.37-2.42

Magnetic moment = 0.06 μB/cell

***

<x>
Computed, not measured: crystalline La4Sb2H at its relaxed geometry at the PBE level of DFT.

Unit cell a=4.6973 b=4.6973 c=18.0958 alpha=90.00 beta=90.00 gamma=90.00
Last column: nearest neighbours and their distance in Å.
Space group I4/mmm (No. 139)
Inequivalent atoms, fractional coordinates:
La  0.0000  0.0000  0.1783  1 H 3.23, 5 Sb 3.33-3.40
La  0.0000  0.5000  0.0000  2 H 2.35
Sb  0.0000  0.0000  0.3624  9 La 3.33-3.42
H  0.0000  0.0000  0.0000  4 La 2.35

Magnetic moment = 0.00 μB/cell

***

Most stable: <x>. Least stable: <w>.

***

<w>
Computed, not measured: crystalline La2SbH2 at its relaxed geometry at the PBE level of DFT.

Unit cell a=6.7476 b=10.5648 c=11.6891 alpha=90.00 beta=90.00 gamma=90.00
Last column: nearest neighbours and their distance in Å.
Space group Fddd (No. 70, origin choice 2)
Inequivalent atoms, fractional coordinates:
La  0.1250  0.3150  0.1250  4 H 2.38-2.43
Sb  0.1250  0.1250  0.6250  6 La 3.28-3.43, 8 H 3.50-3.64
H  0.1250  0.1250  0.0083  4 La 2.38-2.43

Magnetic moment = 0.00 μB/cell

***

<x>
Computed, not measured: crystalline La2SbH2 at its relaxed geometry at the PBE level of DFT.

Unit cell a=4.0946 b=4.0946 c=12.4155 alpha=90.00 beta=90.00 gamma=90.00
Last column: nearest neighbours and their distance in Å.
Space group I4/mmm (No. 139)
Inequivalent atoms, fractional coordinates:
La  0.0000  0.0000  0.1418  4 H 2.45
Sb  0.0000  0.0000  0.5000  8 La 3.39, 8 H 3.72
H  0.0000  0.5000  0.2500  4 La 2.45

Magnetic moment = 0.00 μB/cell

***

Most stable: <x>. Least stable: <w>.